ZrTaS3 after structural relaxation, computed with PBE-GGA.

a b c (Å): 3.462 6.329 9.834
angles (deg): 90.00 100.14 90.00
Positions (direct):
1 Zr 0.837 0.954 0.674
2 Zr 0.163 0.454 0.326
3 Ta 0.335 0.539 0.671
4 Ta 0.665 0.039 0.329
5 S 0.896 0.332 0.791
6 S 0.104 0.832 0.209
7 S 0.579 0.316 0.157
8 S 0.421 0.816 0.843
9 S 0.748 0.653 0.495
10 S 0.252 0.153 0.505

Offset from the most stable computed form (meV per atom): 0.0
Space-group type: Cmc2_1
Formation energy from raw total energies (eV/atom): -1.170
Fermi-level density of states (states/eV/cell): 6.9

ZrTa2S5 after structural relaxation, computed with PBE-GGA.

a b c (Å): 4.643 7.117 6.975
angles (deg): 83.76 70.56 70.96
Positions (direct):
1 Zr 0.500 0.500 0.500
2 Ta 0.813 0.500 0.874
3 Ta 0.187 0.500 0.126
4 S 0.218 0.730 0.833
5 S 0.552 0.730 0.167
6 S 0.000 0.500 0.500
7 S 0.782 0.270 0.167
8 S 0.448 0.270 0.833

Space-group type: Fmmm
Formation energy from raw total energies (eV/atom): -0.824
Fermi-level density of states (states/eV/cell): 3.1

Zr5Ta3S12 after structural relaxation, computed with PBE-GGA.

a b c (Å): 12.877 12.877 12.877
angles (deg): 109.47 109.47 109.47
Positions (direct):
1 Ta 0.750 0.375 0.125
2 Ta 0.875 0.750 0.125
3 Ta 0.375 0.750 0.625
4 Ta 0.250 0.125 0.375
5 Ta 0.875 0.125 0.250
6 Ta 0.375 0.625 0.250
7 Ta 0.625 0.375 0.750
8 Ta 0.125 0.875 0.750
9 Ta 0.750 0.875 0.625
10 Ta 0.625 0.250 0.375
11 Ta 0.125 0.250 0.875
12 Ta 0.250 0.625 0.875
13 Zr 0.125 0.375 0.250
14 Zr 0.000 0.500 0.000
15 Zr 0.000 0.000 0.000
16 Zr 0.375 0.250 0.125
17 Zr 0.500 0.000 0.500
18 Zr 0.500 0.500 0.000
19 Zr 0.125 0.750 0.375
20 Zr 0.750 0.125 0.875
21 Zr 0.750 0.625 0.375
22 Zr 0.375 0.125 0.750
23 Zr 0.625 0.875 0.250
24 Zr 0.500 0.500 0.500
25 Zr 0.500 0.000 0.000
26 Zr 0.000 0.000 0.500
27 Zr 0.250 0.375 0.625
28 Zr 0.250 0.875 0.125
29 Zr 0.000 0.500 0.500
30 Zr 0.875 0.250 0.625
31 Zr 0.625 0.750 0.875
32 Zr 0.875 0.625 0.750
33 S 0.731 0.138 0.060
34 S 0.328 0.560 0.422
35 S 0.940 0.362 0.269
36 S 0.560 0.231 0.138
37 S 0.593 0.731 0.672
38 S 0.940 0.578 0.172
39 S 0.328 0.769 0.407
40 S 0.078 0.907 0.138
41 S 0.578 0.940 0.672
42 S 0.731 0.593 0.172
43 S 0.769 0.440 0.362
44 S 0.828 0.922 0.060
45 S 0.138 0.731 0.560
46 S 0.362 0.422 0.093
47 S 0.093 0.922 0.362
48 S 0.407 0.138 0.578
49 S 0.093 0.172 0.231
50 S 0.440 0.672 0.078
51 S 0.828 0.907 0.269
52 S 0.138 0.407 0.078
53 S 0.362 0.940 0.769
54 S 0.578 0.638 0.407
55 S 0.922 0.828 0.560
56 S 0.769 0.328 0.907
57 S 0.422 0.362 0.593
58 S 0.078 0.172 0.440
59 S 0.231 0.672 0.093
60 S 0.172 0.093 0.731
61 S 0.638 0.060 0.231
62 S 0.862 0.593 0.922
63 S 0.560 0.328 0.922
64 S 0.593 0.862 0.422
65 S 0.907 0.828 0.769
66 S 0.907 0.078 0.638
67 S 0.862 0.269 0.440
68 S 0.172 0.078 0.940
69 S 0.638 0.578 0.907
70 S 0.422 0.060 0.328
71 S 0.269 0.407 0.828
72 S 0.231 0.560 0.638
73 S 0.922 0.093 0.862
74 S 0.672 0.231 0.593
75 S 0.440 0.769 0.862
76 S 0.060 0.422 0.828
77 S 0.407 0.269 0.328
78 S 0.060 0.638 0.731
79 S 0.672 0.440 0.578
80 S 0.269 0.862 0.940

Space-group type: Ia-3d
Formation energy from raw total energies (eV/atom): -0.779
Fermi-level density of states (states/eV/cell): 75.3

ZrTaS3 after structural relaxation, computed with PBE-GGA.

a b c (Å): 4.729 4.729 4.729
angles (deg): 90.00 90.00 90.00
Positions (direct):
1 S 0.000 0.500 0.000
2 S 0.000 0.000 0.500
3 S 0.500 0.000 0.000
4 Zr 0.500 0.500 0.500
5 Ta 0.000 0.000 0.000

Offset from the most stable computed form (meV per atom): 870.4
Space-group type: Pm-3m
Formation energy from raw total energies (eV/atom): -0.300
Fermi-level density of states (states/eV/cell): 4.2

Per-record magnetization, Bohr magnetons per cell: 0.000; 0.000; 0.041; 1.688
Per-record DFT total energy, eV for the cell shown: -77.3; -59.5; -573.6; -34.3